Record 1
DFT (PBE-GGA) results for ScSiAu after structural relaxation.

Calculated values
The crystal system is orthorhombic. The value obtained for the uncorrected formation energy is -567 meV/atom.

Cell lengths 4.3789, 3.5956, 7.0920 Å; angles 90.00, 107.98, 90.00 degrees
Element x y z (fractional)
Sc (0.9077, 0.2500, 0.8155)
Sc (0.0923, 0.7500, 0.1845)
Si (0.5656, 0.2500, 0.1312)
Si (0.4344, 0.7500, 0.8688)
Au (0.2785, 0.2500, 0.5569)
Au (0.7215, 0.7500, 0.4431)



Record 2
DFT (PBE-GGA) results for ScSiAu after structural relaxation.

Calculated values
The crystal system is orthorhombic. The value obtained for the uncorrected formation energy is -336 meV/atom.

Cell lengths 4.8689, 4.8689, 4.8689 Å; angles 139.41, 131.43, 65.10 degrees
Element x y z (fractional)
Au (0.9960, 0.9960, 0.0000)
Sc (0.3341, 0.3341, 0.0000)
Si (0.6699, 0.6699, 0.0000)



Record 3
DFT (PBE-GGA) results for Sc3Si3Au after structural relaxation.

Calculated values
The crystal system is monoclinic. The value obtained for the uncorrected formation energy is -773 meV/atom.

Cell lengths 4.0895, 5.4429, 12.4315 Å; angles 83.46, 80.53, 67.93 degrees
Element x y z (fractional)
Sc (0.5193, 0.3329, 0.6285)
Sc (0.4807, 0.6671, 0.3715)
Sc (0.2645, 0.2527, 0.2183)
Sc (0.7355, 0.7473, 0.7817)
Sc (0.3939, 0.2868, 0.9254)
Sc (0.6061, 0.7132, 0.0746)
Si (0.8790, 0.6943, 0.5477)
Si (0.1210, 0.3057, 0.4523)
Si (0.1135, 0.8471, 0.9260)
Si (0.8865, 0.1529, 0.0740)
Si (0.9843, 0.8088, 0.2225)
Si (0.0157, 0.1912, 0.7775)
Au (0.7640, 0.0823, 0.3897)
Au (0.2360, 0.9177, 0.6103)



Record 4
DFT (PBE-GGA) results for ScSiAu after structural relaxation.

Calculated values
The crystal system is orthorhombic. The value obtained for the uncorrected formation energy is -720 meV/atom.

Cell lengths 5.4456, 4.2584, 5.4456 Å; angles 66.95, 93.83, 113.05 degrees
Element x y z (fractional)
Sc (0.3420, 0.9091, 0.6193)
Sc (0.9070, 0.4091, 0.1843)
Si (0.9265, 0.1206, 0.7805)
Si (0.5032, 0.6976, 0.2038)
Au (0.3226, 0.1889, 0.0403)
Au (0.7629, 0.6292, 0.5999)



Record 5
DFT (PBE-GGA) results for ScSiAu3 after structural relaxation.

Calculated values
The crystal system is cubic. The value obtained for the uncorrected formation energy is 773 meV/atom. The value obtained for the energy relative to the lowest polymorph listed for this composition is 0.828 eV per atom.

Cell lengths 5.0755, 5.0755, 5.0755 Å; angles 90.00, 90.00, 90.00 degrees
Element x y z (fractional)
Sc (0.0000, 0.0000, 0.0000)
Si (0.5000, 0.5000, 0.5000)
Au (0.0000, 0.5000, 0.0000)
Au (0.0000, 0.0000, 0.5000)
Au (0.5000, 0.0000, 0.0000)



Record 6
DFT (PBE-GGA) results for SmScSiAu after structural relaxation.

Calculated values
The crystal system is cubic. The value obtained for the uncorrected formation energy is -607 meV/atom.

Cell lengths 4.9722, 4.9722, 4.9722 Å; angles 60.00, 60.00, 60.00 degrees
Last column: magnetic moment on the atom in μB.
Element x y z (fractional)
Sc (0.7500, 0.7500, 0.7500)  0.27
Si (0.0000, 0.0000, 0.0000)  -0.02
Au (0.5000, 0.5000, 0.5000)  0.03
Sm (0.2500, 0.2500, 0.2500)  0.13



Record 7
DFT (PBE-GGA) results for Sr2ScSi3Au12 after structural relaxation.

Calculated values
The crystal system is trigonal. The value obtained for the uncorrected formation energy is -184 meV/atom.

Cell lengths 8.1926, 8.1926, 8.1926 Å; angles 65.85, 65.85, 65.85 degrees
Element x y z (fractional)
Sr (0.6018, 0.6018, 0.6018)
Sr (0.3982, 0.3982, 0.3982)
Sc (0.0000, 0.0000, 0.0000)
Si (0.5000, 0.0000, 0.0000)
Si (0.0000, 0.5000, 0.0000)
Si (0.0000, 0.0000, 0.5000)
Au (0.3178, 0.3178, 0.8658)
Au (0.8690, 0.8690, 0.3773)
Au (0.3773, 0.8690, 0.8690)
Au (0.8658, 0.3178, 0.3178)
Au (0.8690, 0.3773, 0.8690)
Au (0.3178, 0.8658, 0.3178)
Au (0.6822, 0.6822, 0.1342)
Au (0.1310, 0.1310, 0.6227)
Au (0.6227, 0.1310, 0.1310)
Au (0.1342, 0.6822, 0.6822)
Au (0.1310, 0.6227, 0.1310)
Au (0.6822, 0.1342, 0.6822)



Record 8
DFT (PBE-GGA) results for TbScSiAu after structural relaxation.

Calculated values
The crystal system is cubic. The value obtained for the uncorrected formation energy is -636 meV/atom.

Cell lengths 4.9231, 4.9231, 4.9231 Å; angles 60.00, 60.00, 60.00 degrees
Last column: magnetic moment on the atom in μB.
Element x y z (fractional)
Sc (0.5000, 0.5000, 0.5000)  0.23
Tb (0.0000, 0.0000, 0.0000)  0.14
Si (0.2500, 0.2500, 0.2500)  -0.02
Au (0.7500, 0.7500, 0.7500)  0.03



Record 9
DFT (PBE-GGA) results for TmScSiAu after structural relaxation.

Calculated values
The crystal system is cubic. The value obtained for the uncorrected formation energy is -647 meV/atom.

Cell lengths 4.8742, 4.8742, 4.8742 Å; angles 60.00, 60.00, 60.00 degrees
Last column: magnetic moment on the atom in μB.
Element x y z (fractional)
Sc (0.5000, 0.5000, 0.5000)  0.13
Si (0.7500, 0.7500, 0.7500)  -0.01
Tm (0.0000, 0.0000, 0.0000)  0.09
Au (0.2500, 0.2500, 0.2500)  0.02



Record 10
DFT (PBE-GGA) results for YScSiAu after structural relaxation.

Calculated values
The crystal system is cubic. The value obtained for the uncorrected formation energy is -644 meV/atom.

Cell lengths 4.9165, 4.9165, 4.9165 Å; angles 60.00, 60.00, 60.00 degrees
Last column: magnetic moment on the atom in μB.
Element x y z (fractional)
Y (0.5000, 0.5000, 0.5000)  0.10
Sc (0.0000, 0.0000, 0.0000)  0.20
Si (0.7500, 0.7500, 0.7500)  -0.01
Au (0.2500, 0.2500, 0.2500)  0.03



Record 11
DFT (PBE-GGA) results for SmScAu2 after structural relaxation.

Calculated values
The crystal system is tetragonal. The calculation puts the formation energy from the elements at -18.274 kcal/mol of atoms.

Cell lengths 3.4944, 3.4944, 7.2326 Å; angles 90.00, 90.00, 90.00 degrees
Element x y z (fractional)
Sc (0.5000, 0.5000, 0.0000)
Au (0.0000, 0.0000, 0.7831)
Au (0.0000, 0.0000, 0.2169)
Sm (0.5000, 0.5000, 0.5000)



Record 12
DFT (PBE-GGA) results for SmScAu2 after structural relaxation.

Calculated values
The crystal system is trigonal. The calculation puts the formation energy from the elements at -17.818 kcal/mol of atoms.

Cell lengths 4.8140, 4.8140, 5.3575 Å; angles 63.30, 63.30, 60.00 degrees
Element x y z (fractional)
Sc (0.5000, 0.5000, 0.5000)
Au (0.7784, 0.7784, 0.6647)
Au (0.2216, 0.2216, 0.3353)
Sm (0.0000, 0.0000, 0.0000)



Record 13
DFT (PBE-GGA) results for Sm5ScAu6 after structural relaxation.

Calculated values
The crystal system is monoclinic. The calculation puts the formation energy from the elements at -18.053 kcal/mol of atoms.

Cell lengths 5.1277, 7.2419, 8.9165 Å; angles 66.04, 73.34, 90.00 degrees
Element x y z (fractional)
Sc (0.0000, 0.0000, 0.0000)
Au (0.8424, 0.6064, 0.3151)
Au (0.8423, 0.0786, 0.3152)
Au (0.5000, 0.7743, 0.0000)
Au (0.5000, 0.2257, 0.0000)
Au (0.1577, 0.9214, 0.6848)
Au (0.1576, 0.3936, 0.6849)
Sm (0.6700, 0.1697, 0.6605)
Sm (0.3351, 0.3351, 0.3299)
Sm (0.0000, 0.5000, 0.0000)
Sm (0.6649, 0.6649, 0.6701)
Sm (0.3300, 0.8303, 0.3395)



Record 14
DFT (PBE-GGA) results for Sm3ScAu2 after structural relaxation.

Calculated values
The crystal system is orthorhombic. The calculation puts the formation energy from the elements at -12.641 kcal/mol of atoms.

Cell lengths 5.0379, 6.8877, 9.1656 Å; angles 90.00, 90.00, 90.00 degrees
Element x y z (fractional)
Sm (0.0000, 0.4945, 0.9315)
Sm (0.0000, 0.9945, 0.0685)
Sm (0.5000, 0.6581, 0.1728)
Sm (0.5000, 0.1581, 0.8272)
Sm (0.0000, 0.3392, 0.3419)
Sm (0.0000, 0.8392, 0.6581)
Sc (0.5000, 0.5072, 0.5704)
Sc (0.5000, 0.0072, 0.4296)
Au (0.5000, 0.7275, 0.8384)
Au (0.5000, 0.2275, 0.1616)
Au (0.0000, 0.2735, 0.6531)
Au (0.0000, 0.7735, 0.3469)



Record 15
DFT (PBE-GGA) results for Sm2ScAu after structural relaxation.

Calculated values
The crystal system is trigonal. The value obtained for the energy relative to the lowest polymorph listed for this composition is 0.383 eV per atom. The calculation puts the formation energy from the elements at 0.919 kcal/mol of atoms.

Cell lengths 3.4003, 3.4003, 11.4047 Å; angles 81.43, 81.43, 60.00 degrees
Element x y z (fractional)
Sc (0.0000, 0.0000, 0.0000)
Au (0.5000, 0.5000, 0.5000)
Sm (0.0954, 0.0954, 0.7139)
Sm (0.9046, 0.9046, 0.2861)



Record 16
DFT (PBE-GGA) results for Sm2ScAu4 after structural relaxation.

Calculated values
The crystal system is trigonal. The calculation puts the formation energy from the elements at -15.836 kcal/mol of atoms.

Cell lengths 4.9513, 4.9513, 8.7543 Å; angles 73.57, 73.57, 60.00 degrees
Element x y z (fractional)
Sm (0.7584, 0.7584, 0.7247)
Sm (0.2416, 0.2416, 0.2753)
Sc (0.0000, 0.0000, 0.0000)
Au (0.8822, 0.8822, 0.3535)
Au (0.1178, 0.1178, 0.6465)
Au (0.6389, 0.6389, 0.0832)
Au (0.3611, 0.3611, 0.9168)



Record 17
DFT (PBE-GGA) results for Sm2ScAu6 after structural relaxation.

Calculated values
The crystal system is monoclinic. The value obtained for the energy relative to the lowest polymorph listed for this composition is 0.070 eV per atom. The calculation puts the formation energy from the elements at -15.054 kcal/mol of atoms.

Cell lengths 5.6446, 6.4112, 6.4112 Å; angles 59.92, 89.99, 89.99 degrees
Element x y z (fractional)
Sm (0.8434, 0.6669, 0.6669)
Sm (0.1566, 0.3331, 0.3331)
Sc (0.0000, 0.0000, 0.0000)
Au (0.3159, 0.3651, 0.8176)
Au (0.3139, 0.8166, 0.8166)
Au (0.3159, 0.8176, 0.3651)
Au (0.6841, 0.6349, 0.1824)
Au (0.6861, 0.1834, 0.1834)
Au (0.6841, 0.1824, 0.6349)



Record 18
DFT (PBE-GGA) results for Sm4ScAu2 after structural relaxation.

Calculated values
The crystal system is trigonal. The calculation puts the formation energy from the elements at -6.122 kcal/mol of atoms.

Cell lengths 5.3086, 5.3086, 9.1168 Å; angles 73.07, 73.07, 60.00 degrees
Element x y z (fractional)
Sm (0.7181, 0.7181, 0.8458)
Sm (0.8735, 0.8735, 0.3794)
Sm (0.2819, 0.2819, 0.1542)
Sm (0.1265, 0.1265, 0.6206)
Sc (0.5000, 0.5000, 0.5000)
Au (0.6036, 0.6036, 0.1892)
Au (0.3964, 0.3964, 0.8108)



Record 19
DFT (PBE-GGA) results for SmSc2Au after structural relaxation.

Calculated values
The crystal system is trigonal. The value obtained for the energy relative to the lowest polymorph listed for this composition is 0.139 eV per atom. The calculation puts the formation energy from the elements at -5.267 kcal/mol of atoms.

Cell lengths 3.5441, 3.5441, 9.7166 Å; angles 79.49, 79.49, 60.00 degrees
Element x y z (fractional)
Sm (0.5017, 0.5017, 0.4949)
Sc (0.0678, 0.0678, 0.7966)
Sc (0.2648, 0.2648, 0.2055)
Au (0.6657, 0.6657, 0.0030)



Record 20
DFT (PBE-GGA) results for SmSc2Au after structural relaxation.

Calculated values
The crystal system is tetragonal. The value obtained for the energy relative to the lowest polymorph listed for this composition is 0.000 eV per atom. The calculation puts the formation energy from the elements at -8.475 kcal/mol of atoms.

Cell lengths 3.4820, 3.4820, 7.9799 Å; angles 90.00, 90.00, 90.00 degrees
Element x y z (fractional)
Sc (0.0000, 0.0000, 0.7997)
Sc (0.0000, 0.0000, 0.2003)
Au (0.5000, 0.5000, 0.0000)
Sm (0.5000, 0.5000, 0.5000)



Record 21
DFT (PBE-GGA) results for Sm5Sc4Au4 after structural relaxation.

Calculated values
The crystal system is tetragonal. The calculation puts the formation energy from the elements at -11.469 kcal/mol of atoms.

Cell lengths 3.7842, 9.6198, 9.6198 Å; angles 87.78, 78.66, 78.66 degrees
Last column: magnetic moment on the atom in μB.
Element x y z (fractional)
Sm (0.7082, 0.9309, 0.6526)  0.12
Sm (0.2918, 0.0691, 0.3474)  0.12
Sm (0.0000, 0.0000, 0.0000)  -0.05
Sm (0.6392, 0.6526, 0.0691)  0.12
Sm (0.3608, 0.3474, 0.9309)  0.12
Sc (0.8812, 0.5452, 0.6923)  0.10
Sc (0.5735, 0.3077, 0.5452)  0.10
Sc (0.1188, 0.4548, 0.3077)  0.10
Sc (0.4265, 0.6923, 0.4548)  0.10
Au (0.7666, 0.2801, 0.1867)  0.01
Au (0.2334, 0.7199, 0.8133)  0.01
Au (0.9533, 0.8133, 0.2801)  0.01
Au (0.0467, 0.1867, 0.7199)  0.01



Record 22
DFT (PBE-GGA) results for SmScAu6 after structural relaxation.

Calculated values
The crystal system is monoclinic. The calculation puts the formation energy from the elements at -14.054 kcal/mol of atoms.

Cell lengths 4.5092, 5.0437, 8.1554 Å; angles 81.94, 73.95, 63.45 degrees
Element x y z (fractional)
Sm (0.0000, 0.5000, 0.5000)
Sc (0.0000, 0.0000, 0.0000)
Au (0.2454, 0.8636, 0.6456)
Au (0.5099, 0.2296, 0.7506)
Au (0.2538, 0.3807, 0.1118)
Au (0.4901, 0.7704, 0.2494)
Au (0.7546, 0.1364, 0.3544)
Au (0.7462, 0.6193, 0.8882)



Record 23
DFT (PBE-GGA) results for Sm2ScAu after structural relaxation.

Calculated values
The crystal system is tetragonal. The value obtained for the energy relative to the lowest polymorph listed for this composition is 0.000 eV per atom. The calculation puts the formation energy from the elements at -7.914 kcal/mol of atoms.

Cell lengths 3.7346, 3.7346, 7.7171 Å; angles 90.00, 90.00, 90.00 degrees
Element x y z (fractional)
Sc (0.5000, 0.5000, 0.5000)
Au (0.5000, 0.5000, 0.0000)
Sm (0.0000, 0.0000, 0.7717)
Sm (0.0000, 0.0000, 0.2283)



Record 24
DFT (PBE-GGA) results for Sm3ScAu4 after structural relaxation.

Calculated values
The crystal system is tetragonal. The calculation puts the formation energy from the elements at -18.125 kcal/mol of atoms.

Cell lengths 3.5888, 3.5888, 14.5607 Å; angles 90.00, 90.00, 90.00 degrees
Element x y z (fractional)
Sc (0.5000, 0.5000, 0.0000)
Au (0.0000, 0.0000, 0.8944)
Au (0.0000, 0.0000, 0.1056)
Au (0.0000, 0.0000, 0.3716)
Au (0.0000, 0.0000, 0.6284)
Sm (0.5000, 0.5000, 0.2415)
Sm (0.5000, 0.5000, 0.5000)
Sm (0.5000, 0.5000, 0.7585)



Record 25
DFT (PBE-GGA) results for Sm2ScAu after structural relaxation.

Calculated values
The crystal system is trigonal. The value obtained for the energy relative to the lowest polymorph listed for this composition is 0.140 eV per atom. The calculation puts the formation energy from the elements at -4.692 kcal/mol of atoms.

Cell lengths 3.6285, 3.6285, 10.1449 Å; angles 79.70, 79.70, 60.00 degrees
Element x y z (fractional)
Sm (0.0760, 0.0760, 0.7721)
Sm (0.2575, 0.2575, 0.2275)
Sc (0.4995, 0.4995, 0.5014)
Au (0.6670, 0.6670, 0.9990)



Record 26
DFT (PBE-GGA) results for SmScAu4 after structural relaxation.

Calculated values
The crystal system is tetragonal. The calculation puts the formation energy from the elements at -18.077 kcal/mol of atoms.

Cell lengths 3.6871, 3.6871, 9.0784 Å; angles 90.00, 90.00, 90.00 degrees
Element x y z (fractional)
Sm (0.0000, 0.0000, 0.0000)
Sc (0.5000, 0.5000, 0.5000)
Au (0.5000, 0.5000, 0.8218)
Au (0.5000, 0.5000, 0.1782)
Au (0.0000, 0.0000, 0.6559)
Au (0.0000, 0.0000, 0.3441)